Computed, not measured: crystalline BaNiSe2O6 at its relaxed geometry at the GGA+U level of DFT.

Computed properties:
VASP energy: -0.3925 Ry per atom
space-group type: R-3
DOS at the Fermi energy: 0.00 states/eV/cell
M_tot: 2.00 μB/f.u.

Cell lengths 5.506, 5.506, 6.799 Å; angles 66.11, 66.11, 60.00 degrees
Each line ends with the local moment (μB).
Sites, in units of the cell vectors:
Ba 0.000 0.000 0.000  0.00
Ni 0.500 0.500 0.500  1.80
Se 0.733 0.733 0.801  0.02
Se 0.267 0.267 0.199  0.02
O 0.085 0.501 0.701  0.02
O 0.714 0.085 0.701  0.02
O 0.499 0.286 0.299  0.02
O 0.915 0.499 0.299  0.02
O 0.286 0.915 0.299  0.02
O 0.501 0.714 0.701  0.02